[1]
BePBrO2 | PBEsol | relaxed

The structure in POSCAR format:
```
BePBrO2
1.0
3.701 0.000 0.000
0.000 3.701 0.000
0.000 0.000 5.153
Be P Br O
1 1 1 2
Cartesian
0.000 0.000 0.000
1.850 1.850 0.000
1.850 1.850 2.576
0.000 1.850 2.576
1.850 0.000 2.576
```

Results
The symmetry is No. 123. The value obtained for the total energy is -3.597 eV/atom.

***

[2]
LiIn2Hg | PBEsol | relaxed

The structure in POSCAR format:
```
LiIn2Hg
1.0
3.380 0.000 0.000
0.000 4.298 0.000
0.000 0.000 5.996
Li In Hg
1 2 1
Cartesian
0.000 0.000 0.000
1.690 2.149 1.472
1.690 2.149 4.524
0.000 0.000 2.998
```

Results
The symmetry is No. 47. For the formation energy, the calculation gives -0.16 eV/atom. The value obtained for the total energy is -2.288 eV/atom.

***

[3]
MnOsRh2 | PBEsol | relaxed

The structure in POSCAR format:
```
MnOsRh2
1.0
6.049 0.000 0.000
0.000 6.049 0.000
0.000 0.000 6.049
Mn Os Rh
4 4 8
Cartesian
0.000 0.000 0.000
0.000 3.025 3.025
3.025 0.000 3.025
3.025 3.025 0.000
0.000 0.000 3.025
0.000 3.025 0.000
3.025 0.000 0.000
3.025 3.025 3.025
1.512 1.512 1.512
1.512 1.512 4.537
1.512 4.537 1.512
1.512 4.537 4.537
4.537 1.512 1.512
4.537 1.512 4.537
4.537 4.537 1.512
4.537 4.537 4.537
```

Results
For the distance to the lowest polymorph of the same formula, the calculation gives 174.2 meV/atom. The symmetry is No. 225. For the formation energy, the calculation gives 0.40 eV/atom. The value obtained for the total energy is -9.167 eV/atom.

***

[4]
LiHg2I2 | PBEsol | relaxed

The structure in POSCAR format:
```
LiHg2I2
1.0
8.032 0.000 0.000
0.000 8.032 0.000
0.000 0.000 5.375
Li Hg I
2 4 4
Cartesian
0.000 0.000 0.000
4.016 4.016 0.000
0.979 3.037 2.687
3.037 7.053 2.687
4.995 0.979 2.687
7.053 4.995 2.687
1.900 5.916 0.000
2.116 1.900 0.000
5.916 6.132 0.000
6.132 2.116 0.000
```

Results
For the distance to the lowest polymorph of the same formula, the calculation gives 0.0 meV/atom. The symmetry is No. 127. The value obtained for the total energy is -1.663 eV/atom.

***

[5]
ZrTe2C | PBEsol | relaxed

The structure in POSCAR format:
```
ZrTe2C
1.0
3.713 0.000 0.000
-1.856 3.215 0.000
0.000 0.000 23.362
Zr Te C
3 6 3
Cartesian
0.000 0.000 0.000
0.000 2.143 15.574
1.856 1.072 7.787
0.000 0.000 9.713
0.000 0.000 13.649
0.000 2.143 1.926
0.000 2.143 5.861
1.856 1.072 17.500
1.856 1.072 21.436
0.000 0.000 11.681
0.000 2.143 3.894
1.856 1.072 19.468
```

Results
The symmetry is No. 166. The value obtained for the total energy is -5.656 eV/atom.

***

[6]
BaLiIn4 | PBEsol | relaxed

The structure in POSCAR format:
```
BaLiIn4
1.0
0.000 4.376 4.376
4.376 0.000 4.376
4.376 4.376 0.000
Ba Li In
1 1 4
Cartesian
0.000 0.000 0.000
2.188 2.188 2.188
5.468 3.284 3.284
3.284 5.468 3.284
3.284 3.284 5.468
5.468 5.468 5.468
```

Results
The symmetry is No. 216. For the formation energy, the calculation gives -0.26 eV/atom. The value obtained for the total energy is -2.938 eV/atom.

***

[7]
Gd2CF2 | PBEsol | relaxed

The structure in POSCAR format:
```
Gd2CF2
1.0
3.681 0.000 0.000
-1.840 3.187 0.000
0.000 0.000 6.436
Gd C F
2 1 2
Cartesian
0.000 2.125 1.374
1.840 1.062 5.062
0.000 0.000 0.000
0.000 2.125 3.957
1.840 1.062 2.479
```

Results
The symmetry is No. 164. The value obtained for the total energy is -10.870 eV/atom.

***

[8]
FeHgPb2 | PBEsol | relaxed

The structure in POSCAR format:
```
FeHgPb2
1.0
13.935 0.000 0.000
0.000 3.121 0.000
-1.429 0.000 4.242
Fe Hg Pb
2 2 4
Cartesian
0.000 0.000 0.000
6.968 1.560 0.000
2.208 1.560 0.749
9.175 0.000 0.749
-0.695 1.560 2.127
3.162 0.000 3.436
6.272 0.000 2.127
10.130 1.560 3.436
```

Results
The symmetry is No. 8. For the formation energy, the calculation gives 0.36 eV/atom. The value obtained for the total energy is -4.025 eV/atom.

***

Question: Which value of total energy does entry 2 give?
Answer: -2.288 eV/atom